No. 1
This record from the Alexandria database describes crystalline Pm2CrAsO8 at its relaxed geometry. The functional is GGA+U.

POSCAR file:
```
Pm2CrAsO8
1.0
6.439 0.000 0.000
-3.220 5.577 0.000
0.000 0.000 5.002
Pm Cr As O
2 1 1 8
Cartesian
0.000 3.718 1.178
3.220 1.859 3.824
0.000 0.000 2.501
0.000 0.000 0.000
0.000 1.452 1.158
-1.962 4.851 1.158
1.257 0.726 3.845
0.000 3.718 3.679
3.220 1.859 1.323
1.962 4.851 1.158
5.182 0.726 3.845
3.220 4.125 3.845
```

=====

No. 2
This record from the Alexandria database describes crystalline CsCoOF2 at its relaxed geometry. The functional is GGA+U.

POSCAR file:
```
CsCoOF2
1.0
4.523 0.000 0.000
0.000 4.523 0.000
0.000 0.000 3.727
Cs Co O F
1 1 1 2
Cartesian
0.000 0.000 0.000
2.261 2.261 1.863
2.261 2.261 0.000
0.000 2.261 1.863
2.261 0.000 1.863
```

=====

Raw total energy? In order: -6.95, -4.71 eV/atom.
Size of the total moment? In order: 1.00, 4.00 μB per formula unit.